Material: Pr2PtI
Method: DFT, PBE
State: optimized geometry

It has space group R-3m (No. 166, hexagonal axes), with a = 4.3009 Å, b = 4.3009 Å, c = 24.3755 Å, α = 90.00°, β = 90.00° and γ = 120.00°. Symmetry generates all atoms from Pr at (0.0000, 0.0000, 0.2291), Pt at (0.0000, 0.0000, 0.5000) and I at (0.0000, 0.0000, 0.0000).

As for the mass density: 7.70 Mg/m³. For the electronic total energy, the calculation gives -5.401 eV/atom.